1.
Sr2Al7Ge: single point on PBEsol structure, meta-GGA SCAN.

a b c (Å): 4.4450 4.4450 10.9324
angles (deg): 90.00 90.00 90.00
Closest atoms and distances in Å follow each position.
Element x y z (fractional)
Sr: 0.0000 0.0000 0.0000  12 Al 3.39-3.51, 4 Ge 3.39
Sr: 0.5000 0.5000 0.5026  16 Al 3.38-3.56
Ge: 0.5000 0.5000 0.1169  5 Al 2.54-2.65
Al: 0.0000 0.5000 0.2485  2 Al 2.64, 2 Ge 2.65
Al: 0.5000 0.0000 0.7515  4 Al 2.66
Al: 0.5000 0.0000 0.2485  2 Al 2.64, 2 Ge 2.65
Al: 0.0000 0.5000 0.7515  4 Al 2.66
Al: 0.0000 0.0000 0.6171  5 Al 2.61-2.66
Al: 0.0000 0.0000 0.3786  5 Al 2.61-2.64
Al: 0.5000 0.5000 0.8848  1 Ge 2.54, 4 Al 2.66

volume: 216 Å³ per cell
E_form: -0.283 eV/atom


2.
Sr2Al3Ge: single point on PBEsol structure, meta-GGA SCAN.

a b c (Å): 4.3762 4.3762 9.4370
angles (deg): 90.00 90.00 120.00
Closest atoms and distances in Å follow each position.
Element x y z (fractional)
Sr: 0.6667 0.3333 0.7479  9 Al 3.44-3.47, 3 Ge 3.47
Sr: 0.6667 0.3333 0.2521  9 Al 3.44-3.47, 3 Ge 3.47
Ge: 0.3333 0.6667 0.0000  3 Al 2.53
Al: 0.3333 0.6667 0.5000  3 Al 2.53
Al: 0.0000 0.0000 0.0000  3 Ge 2.53
Al: 0.0000 0.0000 0.5000  3 Al 2.53

volume: 157 Å³ per cell
E_form: -0.379 eV/atom


3.
Sr2TaAlGe: single point on PBEsol structure, meta-GGA SCAN.

a b c (Å): 4.9124 5.7144 5.7144
angles (deg): 90.00 90.00 90.00
Closest atoms and distances in Å follow each position.
Element x y z (fractional)
Sr: 0.0000 0.0000 0.5000  2 Al 2.86
Sr: 0.0000 0.5000 0.0000  2 Al 2.86
Ge: 0.5000 0.5000 0.5000  8 Sr 3.77, 4 Ta 4.04
Al: 0.0000 0.0000 0.0000  2 Ta 2.46
Ta: 0.5000 0.0000 0.0000  2 Al 2.46

volume: 160 Å³ per cell
E_form: 0.906 eV/atom